(1)
A geometry-optimized PmHoEr2Sc4 structure, computed with PBE-GGA.

Calculated values
The value obtained for the total magnetic moment is 7.53 μB/cell. Its space-group type is C2/c. Its energy relative to the elements is 0.4325 eV per atom. As for the density of states at the Fermi level: 16.90 states/eV/f.u. The calculation puts the total energy at -5.04 eV per atom.

The structure in POSCAR format:
```
PmHoEr2Sc4
1.0
8.9302 -0.0216 -1.6396
-0.0279 8.9302 -1.6396
-5.6758 -5.6798 7.9115
Pm Ho Er Sc
2 2 4 8
Direct
0.0000 0.5000 0.0000
0.0000 0.5000 0.5000
0.5000 0.5000 0.5000
0.0000 0.0000 0.0000
0.5000 0.0000 0.0000
0.5000 0.0000 0.5000
0.0000 0.0000 0.5000
0.5000 0.5000 0.0000
0.2515 0.7504 0.0010
0.7496 0.2485 0.4990
0.2504 0.7515 0.5010
0.7485 0.2496 0.9990
0.7472 0.7493 0.9988
0.7507 0.7528 0.5012
0.2493 0.2472 0.4988
0.2528 0.2507 0.0012
```

---

(2)
A geometry-optimized Pm2HoErSc4 structure, computed with PBE-GGA.

Calculated values
The value obtained for the total magnetic moment is 0.00 μB/cell. Its space-group type is P2/m. Its energy relative to the elements is 0.0619 eV per atom. As for the density of states at the Fermi level: 11.10 states/eV/f.u. The calculation puts the total energy at -5.43 eV per atom.

The structure in POSCAR format:
```
Pm2HoErSc4
1.0
3.4393 0.0000 0.0000
0.0000 5.9499 -0.0854
0.0000 2.1268 10.9738
Pm Ho Er Sc
2 1 1 4
Direct
0.0000 0.0000 0.0000
0.5000 0.0000 0.5000
0.5000 0.5000 0.0000
0.0000 0.5000 0.5000
0.0000 0.7489 0.7500
0.0000 0.2511 0.2500
0.5000 0.7487 0.2502
0.5000 0.2513 0.7498
```

---

(3)
A geometry-optimized Pm4HoEr2Sc structure, computed with PBE-GGA.

Calculated values
The value obtained for the total magnetic moment is 0.00 μB/cell. Its space-group type is P4/mmm. Its energy relative to the elements is 0.0272 eV per atom. As for the density of states at the Fermi level: 11.01 states/eV/f.u. The calculation puts the total energy at -4.85 eV per atom.

The structure in POSCAR format:
```
Pm4HoEr2Sc
1.0
-2.7270 2.3024 -3.5905
3.0390 -1.9380 -3.5509
-2.7916 -9.8704 -4.2093
Pm Ho Er Sc
4 1 2 1
Direct
0.0000 0.7555 0.7451
0.0000 0.2445 0.2549
0.5000 0.7445 0.2550
0.5000 0.2555 0.7450
0.5000 0.5000 0.0000
0.0000 0.0000 0.0000
0.5000 0.0000 0.5000
0.0000 0.5000 0.5000
```

---

(4)
A geometry-optimized Pm2Ho5ErSc structure, computed with PBE-GGA.

Calculated values
The value obtained for the total magnetic moment is 0.00 μB/cell. Its space-group type is Cmc2_1. Its energy relative to the elements is 0.1555 eV per atom. As for the density of states at the Fermi level: 12.95 states/eV/f.u. The calculation puts the total energy at -4.65 eV per atom.

The structure in POSCAR format:
```
Pm2Ho5ErSc
1.0
-5.4027 -1.0671 -0.3589
4.0529 -3.2297 -8.9764
1.5766 -9.3536 4.0773
Pm Ho Er Sc
4 10 2 2
Direct
0.8874 0.7748 0.8141
0.1153 0.2306 0.7353
0.1126 0.2252 0.3141
0.8847 0.7694 0.2353
0.3748 0.7497 0.0202
0.7254 0.4508 0.8207
0.4827 0.9654 0.7410
0.2994 0.5988 0.7029
0.9839 0.9678 0.5166
0.6252 0.2503 0.5202
0.2746 0.5492 0.3207
0.5173 0.0346 0.2410
0.7006 0.4012 0.2029
0.0161 0.0322 0.0166
0.5926 0.1851 0.9584
0.4074 0.8149 0.4584
0.8047 0.6094 0.5148
0.1953 0.3906 0.0148
```

---

(5)
A geometry-optimized Pm3Ho6Er2Sc structure, computed with PBE-GGA.

Calculated values
The value obtained for the total magnetic moment is 0.00 μB/cell. Its space-group type is C2/m. Its energy relative to the elements is 0.0297 eV per atom. As for the density of states at the Fermi level: 16.72 states/eV/f.u. The calculation puts the total energy at -4.73 eV per atom.

The structure in POSCAR format:
```
Pm3Ho6Er2Sc
1.0
6.1229 0.0011 -0.0072
-3.0590 5.3040 -0.0072
-1.0048 -1.7399 11.5155
Pm Ho Er Sc
3 6 2 1
Direct
0.1664 0.8336 0.5000
0.8336 0.1664 0.5000
0.5000 0.5000 0.5000
0.9191 0.5880 0.7560
0.7499 0.7499 0.2440
0.0809 0.4120 0.2440
0.5880 0.9191 0.7560
0.2501 0.2501 0.7560
0.4120 0.0809 0.2440
0.3334 0.6666 0.0000
0.6666 0.3334 0.0000
0.0000 0.0000 0.0000
```

---

(6)
A geometry-optimized Pm2HoErSc structure, computed with PBE-GGA.

Calculated values
The value obtained for the total magnetic moment is 0.00 μB/cell. Its space-group type is Cmcm. Its energy relative to the elements is 0.3768 eV per atom. As for the density of states at the Fermi level: 7.37 states/eV/f.u. The calculation puts the total energy at -4.62 eV per atom.

The structure in POSCAR format:
```
Pm2HoErSc
1.0
7.1439 0.0000 0.0000
0.0000 8.1783 0.0000
0.0000 -4.0892 5.6516
Pm Ho Er Sc
4 2 2 2
Direct
0.5000 0.3012 0.0000
0.0000 0.6988 0.0000
0.5000 0.6988 0.0000
0.0000 0.3012 0.0000
0.2500 0.7298 0.4597
0.7500 0.2702 0.5403
0.7500 0.7361 0.4722
0.2500 0.2639 0.5278
0.2500 0.9950 0.9899
0.7500 0.0050 0.0101
```

---

(7)
A geometry-optimized PmHoEr4Sc2 structure, computed with PBE-GGA.

Calculated values
The value obtained for the total magnetic moment is 0.00 μB/cell. Its space-group type is P-1. Its energy relative to the elements is 0.0415 eV per atom. As for the density of states at the Fermi level: 11.26 states/eV/f.u. The calculation puts the total energy at -4.99 eV per atom.

The structure in POSCAR format:
```
PmHoEr4Sc2
1.0
-4.8751 0.0465 10.9554
1.9892 -6.5817 0.9078
7.9766 5.0381 -7.4151
Pm Ho Er Sc
2 2 8 4
Direct
0.0000 0.5000 0.0000
0.0000 0.5000 0.5000
0.5000 0.5000 0.5000
0.0000 0.0000 0.0000
0.2529 0.7503 0.0002
0.7489 0.2463 0.4963
0.2511 0.7537 0.5037
0.7471 0.2497 0.9998
0.2508 0.2498 0.5033
0.2523 0.2469 0.9943
0.7477 0.7531 0.0057
0.7492 0.7502 0.4967
0.5000 0.0000 0.0000
0.5000 0.0000 0.5000
0.0000 0.0000 0.5000
0.5000 0.5000 0.0000
```

---

(8)
A geometry-optimized PmHo5ErSc2 structure, computed with PBE-GGA.

Calculated values
The value obtained for the total magnetic moment is 0.00 μB/cell. Its space-group type is Cmc2_1. Its energy relative to the elements is 0.1691 eV per atom. As for the density of states at the Fermi level: 13.53 states/eV/f.u. The calculation puts the total energy at -4.82 eV per atom.

The structure in POSCAR format:
```
PmHo5ErSc2
1.0
5.5716 0.0000 0.0000
-2.7858 10.6988 0.0000
0.0000 0.0000 9.2873
Pm Ho Er Sc
2 10 2 4
Direct
0.8153 0.6306 0.5176
0.1847 0.3694 0.0176
0.3925 0.7850 0.0471
0.7345 0.4689 0.8334
0.4684 0.9367 0.7484
0.3074 0.6148 0.7188
0.9904 0.9807 0.5149
0.6075 0.2150 0.5471
0.2656 0.5311 0.3334
0.5316 0.0633 0.2484
0.6926 0.3852 0.2188
0.0096 0.0193 0.0149
0.5970 0.1940 0.9198
0.4030 0.8060 0.4198
0.8866 0.7731 0.8249
0.1370 0.2740 0.6991
0.1134 0.2269 0.3249
0.8630 0.7260 0.1991
```